Record 1
Dy2HoTlO | Alexandria | PBE-GGA | optimized geometry; raw total energy = -5.5743 eV/atom; space group = P4/mmm (123); crystal system = tetragonal; formation energy without anion corrections = -1.35 eV/atom
1.0
4.788 0.000 0.000
0.000 4.788 0.000
0.000 0.000 4.756
Dy Ho Tl O
2 1 1 1
Cartesian
0.000 2.394 0.000
2.394 0.000 0.000
0.000 0.000 2.378
2.394 2.394 2.378
0.000 0.000 0.000

Record 2
LiYPb | Alexandria | PBE-GGA | optimized geometry; raw total energy = -4.3650 eV/atom; space group = Pm (6); crystal system = monoclinic
1.0
4.825 0.000 0.000
0.000 4.345 0.000
-2.422 0.000 7.385
Li Y Pb
2 2 2
Cartesian
0.000 0.000 0.000
-0.002 2.172 2.359
-0.007 0.000 5.062
2.410 0.000 2.321
2.410 2.172 0.080
2.406 2.172 4.640